No. 1
A geometry-optimized Ba6As2P structure. Source: Alexandria via LeMat-Bulk, functional PBE-GGA.

The calculation puts the final energy at -67.6 eV/cell. The space group is P2_1/c. As for the formation energy: -0.838 eV per atom. For the spin magnetization, the calculation gives 0.9 μB per formula unit.

The structure in POSCAR format:
```
Ba6As2P
1.0
-7.361 -1.166 -2.742
-2.859 -0.667 7.959
-0.691 12.070 0.764
Ba As P
12 4 2
direct
0.826 0.921 0.264 Ba
0.818 0.691 0.592 Ba
0.816 0.691 0.931 Ba
0.684 0.191 0.569 Ba
0.682 0.191 0.908 Ba
0.674 0.421 0.236 Ba
0.174 0.079 0.736 Ba
0.182 0.309 0.408 Ba
0.184 0.309 0.069 Ba
0.316 0.809 0.431 Ba
0.318 0.809 0.092 Ba
0.326 0.579 0.764 Ba
0.943 0.402 0.776 As
0.557 0.902 0.724 As
0.443 0.098 0.276 As
0.057 0.598 0.224 As
0.500 0.500 0.000 P
0.000 0.000 0.500 P
```

=====

No. 2
A geometry-optimized BaAs2P structure. Source: Alexandria via LeMat-Bulk, functional PBE-GGA.

The calculation puts the final energy at -17.9 eV/cell. The space group is R-3m. As for the formation energy: -0.329 eV per atom. For the spin magnetization, the calculation gives 0.0 μB per formula unit.

The structure in POSCAR format:
```
BaAs2P
1.0
-1.691 -5.775 -1.165
1.124 -5.475 2.516
-3.338 -4.246 2.899
As Ba P
2 1 1
direct
0.052 0.052 0.052 As
0.448 0.448 0.448 As
0.250 0.250 0.250 Ba
0.750 0.750 0.750 P
```

=====

No. 3
A geometry-optimized BaAsP2 structure. Source: Alexandria via LeMat-Bulk, functional PBE-GGA.

The calculation puts the final energy at -17.9 eV/cell. The space group is Pmmm. As for the formation energy: -0.118 eV per atom. For the spin magnetization, the calculation gives 0.0 μB per formula unit.

The structure in POSCAR format:
```
BaAsP2
1.0
-2.802 2.421 -0.412
-0.913 -1.651 -3.496
-3.898 -4.014 2.914
Ba As P
1 1 2
direct
0.500 0.500 0.500 Ba
0.500 0.500 0.000 As
0.000 0.000 0.829 P
0.000 0.000 0.171 P
```

=====

No. 4
A geometry-optimized BaAsP2 structure. Source: Alexandria via LeMat-Bulk, functional PBE-GGA.

The calculation puts the final energy at -17.6 eV/cell. The space group is P4mm. As for the formation energy: -0.062 eV per atom. For the spin magnetization, the calculation gives 0.0 μB per formula unit.

The structure in POSCAR format:
```
BaAsP2
1.0
3.908 0.000 0.000
0.000 3.906 0.000
0.000 0.000 6.449
As Ba P
1 1 2
direct
0.000 0.000 0.385 As
0.500 0.500 0.786 Ba
0.000 0.000 0.035 P
0.500 0.500 0.295 P
```